1.
Here is an optimized crystal structure of MnRe2Hg from the Alexandria database. Energies are from PBEsol.

Results
- E (eV/cell) = -35.50
- formation energy from the elements (eV per atom) = 0.372

Cell lengths 2.836, 2.836, 7.642 Å; angles 90.00, 90.00, 90.00 degrees
Space group P4mm (No. 99)
Inequivalent atoms, fractional coordinates:
Mn  0.000  0.000  0.000 [1 per cell]
Re  0.000  0.000  0.448 [1 per cell]
Re  0.500  0.500  0.225 [1 per cell]
Hg  0.500  0.500  0.736 [1 per cell]

=====

2.
Here is an optimized crystal structure of CoSb2PW from the Alexandria database. Energies are from PBEsol.

Results
- E (eV/cell) = -29.64
- raw formation energy (eV per atom) = 1.36

Cell lengths 5.143, 5.143, 4.492 Å; angles 90.00, 90.00, 90.00 degrees
Space group P4/mmm (No. 123)
Inequivalent atoms, fractional coordinates:
Co  0.000  0.000  0.000 [1 per cell]
Sb  0.000  0.500  0.500 [2 per cell]
P  0.500  0.500  0.000 [1 per cell]
W  0.000  0.000  0.500 [1 per cell]

=====

3.
Here is an optimized crystal structure of Ta2FeRh from the Alexandria database. Energies are from PBEsol.

Results
- E (eV/cell) = -43.34
- formation energy from the elements (eV per atom) = -0.283

Cell lengths 2.858, 2.858, 7.116 Å; angles 90.00, 90.00, 90.00 degrees
Space group P4/mmm (No. 123)
Inequivalent atoms, fractional coordinates:
Ta  0.000  0.000  0.231 [2 per cell]
Fe  0.500  0.500  0.000 [1 per cell]
Rh  0.500  0.500  0.500 [1 per cell]

=====

4.
Here is an optimized crystal structure of BaMgAg2 from the Alexandria database. Energies are from PBEsol.

Results
- E (eV/cell) = -11.04
- formation energy from the elements (eV per atom) = -0.138

Cell lengths 3.495, 3.783, 7.451 Å; angles 90.00, 90.00, 90.00 degrees
Space group Pmmm (No. 47)
Inequivalent atoms, fractional coordinates:
Ba  0.000  0.000  0.000 [1 per cell]
Mg  0.000  0.000  0.500 [1 per cell]
Ag  0.500  0.500  0.313 [2 per cell]